LaTmMgPd after structural relaxation. Source: the Alexandria database, functional GGA-PBE. Values from VASP.

```
&SYSTEM
  ibrav = 0, nat = 4, ntyp = 4
/
ATOMIC_SPECIES
La 138.91 La.upf
Tm 168.93 Tm.upf
Mg 24.30 Mg.upf
Pd 106.42 Pd.upf
ATOMIC_POSITIONS crystal
La 0.000 0.000 0.000
Tm 0.500 0.500 0.500
Mg 0.250 0.250 0.250
Pd 0.750 0.750 0.750
CELL_PARAMETERS angstrom
0.000 3.702 3.702
3.702 0.000 3.702
3.702 3.702 0.000
```

Output
E_form = -0.3597 eV per atom
DFT total energy = -17.63 eV per cell